A plane-wave DFT calculation with PBE-GGA was carried out for crystalline Pr8Pt3I4Cl at its relaxed geometry.

Geometry as CIF:
```
data_Pr8Pt3I4Cl
_chemical_formula_sum 'Pr8 Pt3 I4 Cl1'
_cell_length_a 8.6419
_cell_length_b 9.4173
_cell_length_c 8.6430
_cell_angle_alpha 117.32
_cell_angle_beta 120.00
_cell_angle_gamma 90.00
_symmetry_space_group_name_H-M 'P 1'
_symmetry_Int_Tables_number 1
loop_
_symmetry_equiv_pos_as_xyz
'x,y,z'
loop_
_atom_site_label
_atom_site_fract_x
_atom_site_fract_y
_atom_site_fract_z
Pr1 0.2403 0.6987 0.4806
Pr2 0.2725 0.3178 0.5450
Pr3 0.7275 0.6822 0.4550
Pr4 0.7596 0.3017 0.0409
Pr5 0.7187 0.6983 0.9591
Pr6 0.2404 0.6983 0.9591
Pr7 0.2813 0.3017 0.0409
Pr8 0.7597 0.3013 0.5194
Pt1 0.5000 0.5000 0.5000
Pt2 0.0000 0.5000 0.5000
Pt3 0.5000 0.5000 0.0000
I1 0.5000 0.0000 0.5000
I2 0.0000 0.0000 0.0000
I3 0.0000 0.0000 0.5000
I4 0.5000 0.0000 0.0000
Cl1 0.0000 0.5000 0.0000
```

Computed properties:
crystal system	monoclinic
formation energy without anion corrections	-1.11	eV/atom
SG	C2/m (12)



A plane-wave DFT calculation with PBE-GGA was carried out for crystalline MnCrBi2 at its relaxed geometry.

Geometry as CIF:
```
data_MnCrBi2
_chemical_formula_sum 'Mn2 Cr2 Bi4'
_cell_length_a 7.7123
_cell_length_b 7.7123
_cell_length_c 6.4212
_cell_angle_alpha 53.09
_cell_angle_beta 53.09
_cell_angle_gamma 90.00
_symmetry_space_group_name_H-M 'P 1'
_symmetry_Int_Tables_number 1
loop_
_symmetry_equiv_pos_as_xyz
'x,y,z'
loop_
_atom_site_label
_atom_site_fract_x
_atom_site_fract_y
_atom_site_fract_z
Bi1 0.3750 0.3715 0.7500
Bi2 0.8750 0.8785 0.7500
Bi3 0.6285 0.1250 0.2500
Bi4 0.1215 0.6250 0.2500
Mn1 0.7500 0.2500 0.5000
Mn2 0.0000 0.0000 0.0000
Cr1 0.2500 0.7500 0.5000
Cr2 0.5000 0.5000 0.0000
```

Computed properties:
polymorph energy (0 for the lowest one)	0.0	meV/atom
crystal system	tetragonal
E_form	13.2	kcal/mol of atoms
SG	I-42d (122)



A plane-wave DFT calculation with PBE-GGA was carried out for crystalline NpCd3Pt12 at its relaxed geometry.

Geometry as CIF:
```
data_NpCd3Pt12
_chemical_formula_sum 'Np1 Cd3 Pt12'
_cell_length_a 4.0856
_cell_length_b 4.0856
_cell_length_c 16.2090
_cell_angle_alpha 90.00
_cell_angle_beta 90.00
_cell_angle_gamma 90.00
_symmetry_space_group_name_H-M 'P 1'
_symmetry_Int_Tables_number 1
loop_
_symmetry_equiv_pos_as_xyz
'x,y,z'
loop_
_atom_site_label
_atom_site_fract_x
_atom_site_fract_y
_atom_site_fract_z
Pt1 0.5000 0.0000 0.1261
Pt2 0.0000 0.5000 0.8739
Pt3 0.5000 0.5000 0.7467
Pt4 0.5000 0.0000 0.6231
Pt5 0.5000 0.5000 0.5000
Pt6 0.5000 0.0000 0.3769
Pt7 0.5000 0.5000 0.0000
Pt8 0.5000 0.0000 0.8739
Pt9 0.0000 0.5000 0.3769
Pt10 0.0000 0.5000 0.6231
Pt11 0.5000 0.5000 0.2533
Pt12 0.0000 0.5000 0.1261
Cd1 0.0000 0.0000 0.5000
Cd2 0.0000 0.0000 0.7458
Cd3 0.0000 0.0000 0.2542
Np1 0.0000 0.0000 0.0000
```

Computed properties:
crystal system	tetragonal
E_form	-7.1	kcal/mol of atoms
SG	P4/mmm (123)



A plane-wave DFT calculation with PBE-GGA was carried out for crystalline TmCuRu at its relaxed geometry.

Geometry as CIF:
```
data_TmCuRu
_chemical_formula_sum 'Tm1 Cu1 Ru1'
_cell_length_a 3.3638
_cell_length_b 3.3638
_cell_length_c 5.1312
_cell_angle_alpha 109.13
_cell_angle_beta 109.13
_cell_angle_gamma 90.00
_symmetry_space_group_name_H-M 'P 1'
_symmetry_Int_Tables_number 1
loop_
_symmetry_equiv_pos_as_xyz
'x,y,z'
loop_
_atom_site_label
_atom_site_fract_x
_atom_site_fract_y
_atom_site_fract_z
Tm1 0.9459 0.9459 0.8917
Ru1 0.2654 0.2654 0.5307
Cu1 0.6388 0.6388 0.2775
```

Computed properties:
polymorph energy (0 for the lowest one)	210.6	meV/atom
crystal system	tetragonal
E_form	-3.1	kcal/mol of atoms
SG	I4mm (107)



A plane-wave DFT calculation with PBE-GGA was carried out for crystalline AgPd6Pb at its relaxed geometry.

Geometry as CIF:
```
data_AgPd6Pb
_chemical_formula_sum 'Ag1 Pd6 Pb1'
_cell_length_a 4.0590
_cell_length_b 4.0590
_cell_length_c 8.0853
_cell_angle_alpha 90.00
_cell_angle_beta 90.00
_cell_angle_gamma 90.00
_symmetry_space_group_name_H-M 'P 1'
_symmetry_Int_Tables_number 1
loop_
_symmetry_equiv_pos_as_xyz
'x,y,z'
loop_
_atom_site_label
_atom_site_fract_x
_atom_site_fract_y
_atom_site_fract_z
Pd1 0.0000 0.5000 0.7450
Pd2 0.5000 0.5000 0.5000
Pd3 0.5000 0.0000 0.2550
Pd4 0.0000 0.5000 0.2550
Pd5 0.5000 0.5000 0.0000
Pd6 0.5000 0.0000 0.7450
Pb1 0.0000 0.0000 0.0000
Ag1 0.0000 0.0000 0.5000
```

Computed properties:
polymorph energy (0 for the lowest one)	0.0	meV/atom
crystal system	tetragonal
E_form	-2.7	kcal/mol of atoms
SG	P4/mmm (123)



A plane-wave DFT calculation with PBE-GGA was carried out for crystalline TlAsIBr2 at its relaxed geometry.

Geometry as CIF:
```
data_TlAsIBr2
_chemical_formula_sum 'Tl1 As1 I1 Br2'
_cell_length_a 5.4535
_cell_length_b 5.4535
_cell_length_c 6.0106
_cell_angle_alpha 90.00
_cell_angle_beta 90.00
_cell_angle_gamma 90.00
_symmetry_space_group_name_H-M 'P 1'
_symmetry_Int_Tables_number 1
loop_
_symmetry_equiv_pos_as_xyz
'x,y,z'
loop_
_atom_site_label
_atom_site_fract_x
_atom_site_fract_y
_atom_site_fract_z
As1 0.0000 0.0000 0.5000
Br1 0.0000 0.5000 0.0000
Br2 0.5000 0.0000 0.0000
I1 0.5000 0.5000 0.5000
Tl1 0.0000 0.0000 0.0000
```

Computed properties:
polymorph energy (0 for the lowest one)	676.3	meV/atom
crystal system	tetragonal
formation energy without anion corrections	0.30	eV/atom
SG	P4/mmm (123)



A plane-wave DFT calculation with PBE-GGA was carried out for crystalline TeBrCl at its relaxed geometry.

Geometry as CIF:
```
data_TeBrCl
_chemical_formula_sum 'Te4 Br4 Cl4'
_cell_length_a 7.2127
_cell_length_b 6.4215
_cell_length_c 11.8609
_cell_angle_alpha 90.00
_cell_angle_beta 127.01
_cell_angle_gamma 90.00
_symmetry_space_group_name_H-M 'P 1'
_symmetry_Int_Tables_number 1
loop_
_symmetry_equiv_pos_as_xyz
'x,y,z'
loop_
_atom_site_label
_atom_site_fract_x
_atom_site_fract_y
_atom_site_fract_z
Br1 0.5000 0.0000 0.0000
Br2 0.5000 0.5000 0.5000
Br3 0.0000 0.5000 0.0000
Br4 0.0000 0.0000 0.5000
Cl1 0.8082 0.0000 0.7536
Cl2 0.8082 0.5000 0.2536
Cl3 0.1918 0.5000 0.7464
Cl4 0.1918 0.0000 0.2464
Te1 0.5277 0.0000 0.2511
Te2 0.4723 0.0000 0.7489
Te3 0.5277 0.5000 0.7511
Te4 0.4723 0.5000 0.2489
```

Computed properties:
polymorph energy (0 for the lowest one)	119.9	meV/atom
crystal system	monoclinic
formation energy without anion corrections	-0.25	eV/atom
SG	C2/m (12)



A plane-wave DFT calculation with PBE-GGA was carried out for crystalline VCo2IrN at its relaxed geometry.

Geometry as CIF:
```
data_VCo2IrN
_chemical_formula_sum 'V1 Co2 Ir1 N1'
_cell_length_a 3.7491
_cell_length_b 3.8893
_cell_length_c 3.7491
_cell_angle_alpha 90.00
_cell_angle_beta 90.00
_cell_angle_gamma 90.00
_symmetry_space_group_name_H-M 'P 1'
_symmetry_Int_Tables_number 1
loop_
_symmetry_equiv_pos_as_xyz
'x,y,z'
loop_
_atom_site_label
_atom_site_fract_x
_atom_site_fract_y
_atom_site_fract_z
V1 0.0000 0.5000 0.0000
Co1 0.5000 0.0000 0.0000
Co2 0.0000 0.0000 0.5000
Ir1 0.5000 0.5000 0.5000
N1 0.0000 0.0000 0.0000
```

Computed properties:
crystal system	tetragonal
formation energy without anion corrections	-0.21	eV/atom
SG	P4/mmm (123)



A plane-wave DFT calculation with PBE-GGA was carried out for crystalline Tm2Al4GaPt3 at its relaxed geometry.

Geometry as CIF:
```
data_Tm2Al4GaPt3
_chemical_formula_sum 'Tm2 Al4 Ga1 Pt3'
_cell_length_a 4.1304
_cell_length_b 4.1304
_cell_length_c 10.7923
_cell_angle_alpha 90.00
_cell_angle_beta 90.00
_cell_angle_gamma 90.00
_symmetry_space_group_name_H-M 'P 1'
_symmetry_Int_Tables_number 1
loop_
_symmetry_equiv_pos_as_xyz
'x,y,z'
loop_
_atom_site_label
_atom_site_fract_x
_atom_site_fract_y
_atom_site_fract_z
Al1 0.0000 0.0000 0.0000
Al2 0.0000 0.5000 0.3609
Al3 0.5000 0.0000 0.6391
Al4 0.5000 0.5000 0.0000
Tm1 0.5000 0.0000 0.2469
Tm2 0.0000 0.5000 0.7531
Pt1 0.5000 0.0000 0.8642
Pt2 0.0000 0.0000 0.5000
Pt3 0.0000 0.5000 0.1358
Ga1 0.5000 0.5000 0.5000
```

Computed properties:
crystal system	tetragonal
E_form	-22.2	kcal/mol of atoms
SG	P-4m2 (115)



A plane-wave DFT calculation with PBE-GGA was carried out for crystalline Li2NdEr2Bi2 at its relaxed geometry.

Geometry as CIF:
```
data_Li2NdEr2Bi2
_chemical_formula_sum 'Li2 Nd1 Er2 Bi2'
_cell_length_a 4.8825
_cell_length_b 4.8825
_cell_length_c 9.4050
_cell_angle_alpha 74.96
_cell_angle_beta 74.96
_cell_angle_gamma 60.00
_symmetry_space_group_name_H-M 'P 1'
_symmetry_Int_Tables_number 1
loop_
_symmetry_equiv_pos_as_xyz
'x,y,z'
loop_
_atom_site_label
_atom_site_fract_x
_atom_site_fract_y
_atom_site_fract_z
Li1 0.4161 0.4161 0.7516
Li2 0.5839 0.5839 0.2484
Er1 0.1329 0.1329 0.6013
Er2 0.8671 0.8671 0.3987
Nd1 0.0000 0.0000 0.0000
Bi1 0.2623 0.2623 0.2131
Bi2 0.7377 0.7377 0.7869
```

Computed properties:
crystal system	trigonal
E_form	-9.0	kcal/mol of atoms
SG	R-3m (166)



A plane-wave DFT calculation with PBE-GGA was carried out for crystalline PrYSnRh at its relaxed geometry.

Geometry as CIF:
```
data_PrYSnRh
_chemical_formula_sum 'Pr1 Y1 Sn1 Rh1'
_cell_length_a 5.2149
_cell_length_b 5.2149
_cell_length_c 5.2149
_cell_angle_alpha 60.00
_cell_angle_beta 60.00
_cell_angle_gamma 60.00
_symmetry_space_group_name_H-M 'P 1'
_symmetry_Int_Tables_number 1
loop_
_symmetry_equiv_pos_as_xyz
'x,y,z'
loop_
_atom_site_label
_atom_site_fract_x
_atom_site_fract_y
_atom_site_fract_z
Y1 0.7500 0.7500 0.7500
Pr1 0.2500 0.2500 0.2500
Sn1 0.0000 0.0000 0.0000
Rh1 0.5000 0.5000 0.5000
```

Computed properties:
crystal system	cubic
E_form	-13.6	kcal/mol of atoms
SG	F-43m (216)



A plane-wave DFT calculation with PBE-GGA was carried out for crystalline MgTi4 at its relaxed geometry.

Geometry as CIF:
```
data_MgTi4
_chemical_formula_sum 'Mg1 Ti4'
_cell_length_a 4.7427
_cell_length_b 4.7427
_cell_length_c 4.7427
_cell_angle_alpha 90.00
_cell_angle_beta 90.00
_cell_angle_gamma 90.00
_symmetry_space_group_name_H-M 'P 1'
_symmetry_Int_Tables_number 1
loop_
_symmetry_equiv_pos_as_xyz
'x,y,z'
loop_
_atom_site_label
_atom_site_fract_x
_atom_site_fract_y
_atom_site_fract_z
Ti1 0.0000 0.0000 0.0000
Ti2 0.5000 0.5000 0.0000
Ti3 0.0000 0.5000 0.5000
Ti4 0.5000 0.0000 0.5000
Mg1 0.5000 0.5000 0.5000
```

Computed properties:
polymorph energy (0 for the lowest one)	1228.7	meV/atom
crystal system	cubic
E_form	30.7	kcal/mol of atoms
SG	Pm-3m (221)



Q: What is the formula in the eleventh record?
A: PrYSnRh